No. 1
# TbBi3Pd12 PBE relaxed
# Total magnetic moment (μB/f.u.): 0.00
# E (eV per atom): -5.31
# Volume (A^3/atom): 17.7
data_TbBi3Pd12
_symmetry_space_group_name_H-M 'P 4/m m m'
_symmetry_Int_Tables_number 123
_symmetry_space_group_name_Hall '-P 4 2'
_cell_length_a 4.1427
_cell_length_b 4.1427
_cell_length_c 16.4988
_cell_angle_alpha 90.00
_cell_angle_beta 90.00
_cell_angle_gamma 90.00
loop_
_atom_site_label
_atom_site_type_symbol
_atom_site_fract_x
_atom_site_fract_y
_atom_site_fract_z
Tb1 Tb 0.0000 0.0000 0.0000
Bi1 Bi 0.0000 0.0000 0.2480
Bi2 Bi 0.0000 0.0000 0.5000
Pd1 Pd 0.0000 0.5000 0.1251
Pd2 Pd 0.0000 0.5000 0.3751
Pd3 Pd 0.5000 0.5000 0.0000
Pd4 Pd 0.5000 0.5000 0.2530
Pd5 Pd 0.5000 0.5000 0.5000

***

No. 2
# TbBi2Pd6 PBE relaxed
# Total magnetic moment (μB/f.u.): 0.00
# E (eV per atom): -4.91
# Volume (A^3/atom): 22.1
data_TbBi2Pd6
_symmetry_space_group_name_H-M 'I -4 2 m'
_symmetry_Int_Tables_number 121
_symmetry_space_group_name_Hall 'I -4 2'
_cell_length_a 5.4975
_cell_length_b 5.4975
_cell_length_c 13.1589
_cell_angle_alpha 90.00
_cell_angle_beta 90.00
_cell_angle_gamma 90.00
loop_
_atom_site_label
_atom_site_type_symbol
_atom_site_fract_x
_atom_site_fract_y
_atom_site_fract_z
Tb1 Tb 0.0000 0.0000 0.0000
Bi1 Bi 0.0000 0.0000 0.2376
Pd1 Pd 0.0000 0.5000 0.2500
Pd2 Pd 0.1791 0.1791 0.5777

***

No. 3
# TbBi2Pd9 PBE relaxed
# Total magnetic moment (μB/f.u.): 0.00
# E (eV per atom): -5.38
# Volume (A^3/atom): 17.7
data_TbBi2Pd9
_symmetry_space_group_name_H-M 'P 4/m m m'
_symmetry_Int_Tables_number 123
_symmetry_space_group_name_Hall '-P 4 2'
_cell_length_a 4.1379
_cell_length_b 4.1379
_cell_length_c 12.3977
_cell_angle_alpha 90.00
_cell_angle_beta 90.00
_cell_angle_gamma 90.00
loop_
_atom_site_label
_atom_site_type_symbol
_atom_site_fract_x
_atom_site_fract_y
_atom_site_fract_z
Tb1 Tb 0.0000 0.0000 0.0000
Bi1 Bi 0.0000 0.0000 0.3308
Pd1 Pd 0.0000 0.5000 0.1665
Pd2 Pd 0.0000 0.5000 0.5000
Pd3 Pd 0.5000 0.5000 0.0000
Pd4 Pd 0.5000 0.5000 0.3366

***

No. 4
# Tb8Bi2Pd3 PBE relaxed
# Total magnetic moment (μB/f.u.): 0.00
# E (eV per atom): -5.13
# Volume (A^3/atom): 33.3
data_Tb8Bi2Pd3
_symmetry_space_group_name_H-M 'C 1 2/m 1'
_symmetry_Int_Tables_number 12
_cell_length_a 16.0818
_cell_length_b 8.0374
_cell_length_c 6.9557
_cell_angle_alpha 90.00
_cell_angle_beta 105.76
_cell_angle_gamma 90.00
loop_
_symmetry_equiv_pos_as_xyz
'x,y,z'
'-x,-y,-z'
'-x,y,-z'
'x,-y,z'
'x+1/2,y+1/2,z'
'-x+1/2,-y+1/2,-z'
'-x+1/2,y+1/2,-z'
'x+1/2,-y+1/2,z'
loop_
_atom_site_label
_atom_site_type_symbol
_atom_site_fract_x
_atom_site_fract_y
_atom_site_fract_z
Tb1 Tb 0.0904 0.0000 0.3594
Tb2 Tb 0.0979 0.5000 0.4036
Tb3 Tb 0.1036 0.2457 0.9018
Bi1 Bi 0.2498 0.0000 0.1694
Pd1 Pd 0.0000 0.2421 0.5000
Pd2 Pd 0.0000 0.5000 0.0000

***

Number 1: energy of formation -397.4 meV per atom. Number 2: energy of formation -76.1 meV per atom. Number 3: energy of formation -453.5 meV per atom. Number 4: energy of formation -483.6 meV per atom.